1.
Below is an optimized crystal structure of HoAlBi2, with properties calculated at the PBE-GGA level.

a b c (Å): 4.9751 4.9751 4.3446
angles (deg): 90.00 90.00 90.00
Positions (direct):
Ho 0.0000 0.0000 0.0000
Al 0.5000 0.5000 0.0000
Bi 0.0000 0.5000 0.5000
Bi 0.5000 0.0000 0.5000

Values from the calculation:
**Total magnetization**: 0.00 μB/cell
**ΔE_f**: -0.24 eV per atom
**Distance to the lowest polymorph of the same formula**: 0.0 meV/atom
**Space-group type**: P4/mmm, No. 123


2.
Below is an optimized crystal structure of DyEr2Pt, with properties calculated at the PBE-GGA level.

a b c (Å): 3.7682 12.1095 9.2917
angles (deg): 90.00 90.00 90.00
Positions (direct):
Dy 0.0000 0.0681 0.2500
Dy 0.0000 0.9319 0.7500
Dy 0.5000 0.4319 0.7500
Dy 0.5000 0.5681 0.2500
Er 0.0000 0.3631 0.0633
Er 0.0000 0.3631 0.4367
Er 0.0000 0.6369 0.5633
Er 0.0000 0.6369 0.9367
Er 0.5000 0.1369 0.5633
Er 0.5000 0.1369 0.9367
Er 0.5000 0.8631 0.0633
Er 0.5000 0.8631 0.4367
Pt 0.0000 0.2412 0.7500
Pt 0.0000 0.7588 0.2500
Pt 0.5000 0.2588 0.2500
Pt 0.5000 0.7412 0.7500

Values from the calculation:
**Total magnetization**: 0.01 μB/cell
**ΔE_f**: -0.69 eV per atom
**Distance to the lowest polymorph of the same formula**: 38.6 meV/atom
**Space-group type**: Cmcm, No. 63


3.
Below is an optimized crystal structure of LiTcP, with properties calculated at the PBE-GGA level.

a b c (Å): 6.9498 6.9498 6.9498
angles (deg): 32.86 32.86 32.86
Positions (direct):
Li 0.1345 0.1345 0.1345
Li 0.8655 0.8655 0.8655
Tc 0.2878 0.2878 0.2878
Tc 0.7122 0.7122 0.7122
P 0.4083 0.4083 0.4083
P 0.5917 0.5917 0.5917

Values from the calculation:
**Total magnetization**: 0.00 μB/cell
**ΔE_f**: -0.51 eV per atom
**Distance to the lowest polymorph of the same formula**: 30.0 meV/atom
**Space-group type**: R-3m, No. 166


The lowest ΔE_f belongs to which entry?
DyEr2Pt